VASP calculation (PBE) on crystalline SrTbCdGa at its relaxed geometry.

a b c (Å): 7.6311 7.6311 7.6311
angles (deg): 90.00 90.00 90.00
Space group F-43m (No. 216)
Inequivalent atoms, fractional coordinates:
Sr 0.0000 0.0000 0.0000 x4
Tb 0.0000 0.0000 0.5000 x4
Cd 0.2500 0.2500 0.7500 x4
Ga 0.2500 0.2500 0.2500 x4

As for the calculated formation energy: -0.339 eV/atom.